# PmPr4Dy3Te8, relaxed, DFT PBE
data_PmPr4Dy3Te8
_chemical_formula_sum 'Pm1 Pr4 Dy3 Te8'
_symmetry_space_group_name_H-M 'P 1'
_symmetry_Int_Tables_number 1
_symmetry_space_group_name_Hall 'P 1'
_cell_length_a 9.003
_cell_length_b 9.003
_cell_length_c 9.003
_cell_angle_alpha 58.74
_cell_angle_beta 58.74
_cell_angle_gamma 58.74
loop_
_atom_site_label
_atom_site_type_symbol
_atom_site_fract_x
_atom_site_fract_y
_atom_site_fract_z
Pm1 Pm 0.000 0.000 0.000
Pr1 Pr 0.000 0.000 0.500
Pr2 Pr 0.000 0.500 0.000
Pr3 Pr 0.500 0.000 0.000
Pr4 Pr 0.500 0.500 0.500
Dy1 Dy 0.000 0.500 0.500
Dy2 Dy 0.500 0.000 0.500
Dy3 Dy 0.500 0.500 0.000
Te1 Te 0.248 0.248 0.741
Te2 Te 0.248 0.741 0.248
Te3 Te 0.255 0.255 0.255
Te4 Te 0.259 0.752 0.752
Te5 Te 0.741 0.248 0.248
Te6 Te 0.745 0.745 0.745
Te7 Te 0.752 0.259 0.752
Te8 Te 0.752 0.752 0.259
# formation energy from raw total energies	-1375	meV per atom

=====

# Pm3Pr4DyTe8, relaxed, DFT PBE
data_Pm3Pr4DyTe8
_chemical_formula_sum 'Pm3 Pr4 Dy1 Te8'
_symmetry_space_group_name_H-M 'P 1'
_symmetry_Int_Tables_number 1
_symmetry_space_group_name_Hall 'P 1'
_cell_length_a 8.996
_cell_length_b 8.996
_cell_length_c 8.996
_cell_angle_alpha 59.66
_cell_angle_beta 59.66
_cell_angle_gamma 59.66
loop_
_atom_site_label
_atom_site_type_symbol
_atom_site_fract_x
_atom_site_fract_y
_atom_site_fract_z
Pm1 Pm 0.000 0.500 0.500
Pm2 Pm 0.500 0.000 0.500
Pm3 Pm 0.500 0.500 0.000
Pr1 Pr 0.000 0.000 0.500
Pr2 Pr 0.000 0.500 0.000
Pr3 Pr 0.500 0.000 0.000
Pr4 Pr 0.500 0.500 0.500
Dy1 Dy 0.000 0.000 0.000
Te1 Te 0.245 0.245 0.752
Te2 Te 0.245 0.752 0.245
Te3 Te 0.248 0.755 0.755
Te4 Te 0.252 0.252 0.252
Te5 Te 0.748 0.748 0.748
Te6 Te 0.752 0.245 0.245
Te7 Te 0.755 0.248 0.755
Te8 Te 0.755 0.755 0.248
# formation energy from raw total energies	-1404	meV per atom

=====

# PmPr2DyTe5, relaxed, DFT PBE
data_PmPr2DyTe5
_chemical_formula_sum 'Pm1 Pr2 Dy1 Te5'
_symmetry_space_group_name_H-M 'P 1'
_symmetry_Int_Tables_number 1
_symmetry_space_group_name_Hall 'P 1'
_cell_length_a 5.540
_cell_length_b 5.540
_cell_length_c 11.765
_cell_angle_alpha 90.00
_cell_angle_beta 90.00
_cell_angle_gamma 90.00
loop_
_atom_site_label
_atom_site_type_symbol
_atom_site_fract_x
_atom_site_fract_y
_atom_site_fract_z
Pm1 Pm 0.000 0.000 0.000
Pr1 Pr 0.500 0.500 0.338
Pr2 Pr 0.500 0.500 0.662
Dy1 Dy 0.000 0.000 0.500
Te1 Te 0.000 0.000 0.249
Te2 Te 0.000 0.000 0.751
Te3 Te 0.000 0.500 0.500
Te4 Te 0.500 0.000 0.500
Te5 Te 0.500 0.500 0.000
# formation energy from raw total energies	-854	meV per atom

=====

# PmPr3Dy3Te8, relaxed, DFT PBE
data_PmPr3Dy3Te8
_chemical_formula_sum 'Pm1 Pr3 Dy3 Te8'
_symmetry_space_group_name_H-M 'P 1'
_symmetry_Int_Tables_number 1
_symmetry_space_group_name_Hall 'P 1'
_cell_length_a 8.876
_cell_length_b 8.876
_cell_length_c 8.876
_cell_angle_alpha 59.68
_cell_angle_beta 59.68
_cell_angle_gamma 59.68
loop_
_atom_site_label
_atom_site_type_symbol
_atom_site_fract_x
_atom_site_fract_y
_atom_site_fract_z
Pm1 Pm 0.000 0.000 0.000
Pr1 Pr 0.000 0.000 0.500
Pr2 Pr 0.000 0.500 0.000
Pr3 Pr 0.500 0.000 0.000
Dy1 Dy 0.000 0.500 0.500
Dy2 Dy 0.500 0.000 0.500
Dy3 Dy 0.500 0.500 0.000
Te1 Te 0.255 0.255 0.255
Te2 Te 0.257 0.257 0.734
Te3 Te 0.257 0.734 0.257
Te4 Te 0.266 0.743 0.743
Te5 Te 0.734 0.257 0.257
Te6 Te 0.743 0.266 0.743
Te7 Te 0.743 0.743 0.266
Te8 Te 0.745 0.745 0.745
# formation energy from raw total energies	-1423	meV per atom

=====

# PmPr2Dy3Te6, relaxed, DFT PBE
data_PmPr2Dy3Te6
_chemical_formula_sum 'Pm1 Pr2 Dy3 Te6'
_symmetry_space_group_name_H-M 'P 1'
_symmetry_Int_Tables_number 1
_symmetry_space_group_name_Hall 'P 1'
_cell_length_a 9.955
_cell_length_b 9.955
_cell_length_c 8.971
_cell_angle_alpha 104.29
_cell_angle_beta 104.29
_cell_angle_gamma 25.43
loop_
_atom_site_label
_atom_site_type_symbol
_atom_site_fract_x
_atom_site_fract_y
_atom_site_fract_z
Pm1 Pm 0.000 0.000 0.000
Pr1 Pr 0.333 0.333 0.666
Pr2 Pr 0.667 0.667 0.334
Dy1 Dy 0.000 0.000 0.500
Dy2 Dy 0.332 0.332 0.166
Dy3 Dy 0.668 0.668 0.834
Te1 Te 0.163 0.163 0.592
Te2 Te 0.168 0.168 0.074
Te3 Te 0.496 0.496 0.255
Te4 Te 0.504 0.504 0.745
Te5 Te 0.832 0.832 0.926
Te6 Te 0.837 0.837 0.408
# formation energy from raw total energies	-1359	meV per atom

=====

An optimized crystal structure of PmPrDyTh, computed with PBE.

CIF file:
```
data_PmPrDyTh
_chemical_formula_sum 'Pm1 Pr1 Dy1 Th1'
_symmetry_space_group_name_H-M 'P 1'
_symmetry_Int_Tables_number 1
_symmetry_space_group_name_Hall 'P 1'
_cell_length_a 3.615
_cell_length_b 3.615
_cell_length_c 10.291
_cell_angle_alpha 90.00
_cell_angle_beta 90.00
_cell_angle_gamma 90.00
loop_
_atom_site_label
_atom_site_type_symbol
_atom_site_fract_x
_atom_site_fract_y
_atom_site_fract_z
Pm1 Pm 0.000 0.000 0.000
Pr1 Pr 0.500 0.500 0.267
Dy1 Dy 0.000 0.000 0.525
Th1 Th 0.500 0.500 0.759
```

=====

An optimized crystal structure of PmPr2Dy2Th2, computed with PBE.

CIF file:
```
data_PmPr2Dy2Th2
_chemical_formula_sum 'Pm1 Pr2 Dy2 Th2'
_symmetry_space_group_name_H-M 'P 1'
_symmetry_Int_Tables_number 1
_symmetry_space_group_name_Hall 'P 1'
_cell_length_a 9.096
_cell_length_b 9.096
_cell_length_c 8.627
_cell_angle_alpha 117.26
_cell_angle_beta 117.26
_cell_angle_gamma 22.16
loop_
_atom_site_label
_atom_site_type_symbol
_atom_site_fract_x
_atom_site_fract_y
_atom_site_fract_z
Pm1 Pm 0.000 0.000 0.000
Pr1 Pr 0.357 0.357 0.131
Pr2 Pr 0.643 0.643 0.869
Dy1 Dy 0.211 0.211 0.302
Dy2 Dy 0.789 0.789 0.698
Th1 Th 0.433 0.433 0.592
Th2 Th 0.567 0.567 0.408
```

=====

An optimized crystal structure of PmPr4Dy2Th, computed with PBE.

CIF file:
```
data_PmPr4Dy2Th
_chemical_formula_sum 'Pm1 Pr4 Dy2 Th1'
_symmetry_space_group_name_H-M 'P 1'
_symmetry_Int_Tables_number 1
_symmetry_space_group_name_Hall 'P 1'
_cell_length_a 5.146
_cell_length_b 5.155
_cell_length_c 10.348
_cell_angle_alpha 90.00
_cell_angle_beta 90.05
_cell_angle_gamma 90.00
loop_
_atom_site_label
_atom_site_type_symbol
_atom_site_fract_x
_atom_site_fract_y
_atom_site_fract_z
Pm1 Pm 0.000 0.000 0.000
Pr1 Pr 0.000 0.500 0.253
Pr2 Pr 0.000 0.500 0.747
Pr3 Pr 0.500 0.000 0.254
Pr4 Pr 0.500 0.000 0.746
Dy1 Dy 0.000 0.000 0.500
Dy2 Dy 0.500 0.500 0.000
Th1 Th 0.500 0.500 0.500
```

=====

Total energy in eV/atom, matching the order above: -5.3003; -5.3477; -4.7008; -5.2917; -5.2725; -5.3632; -5.3038; -5.0219
Total magnetization in μB per atom, matching the order above: 0.000; 0.000; 0.066; 0.000; 0.000; 0.000; 0.000; 0.000